Entry 1:
LaDy7Er2, optimized geometry, DFT GGA-PBE; calculated volume = 396.47 Å³ per cell; calculated formation energy = 0.69 eV/atom; calculated total energy = -3.937 eV per atom; energy above the lowest structure with this stoichiometry = 0.6661 eV per atom; M_tot = 0.000 μB/atom
1.0
4.3814 -7.9830 0.0000
4.3814 7.9830 0.0000
0.0000 0.0000 5.6676
La Dy Er
1 7 2
Direct
0.0000 0.0000 0.0000 La
0.0598 0.2944 0.5000 Dy
0.2222 0.7778 0.0000 Dy
0.2944 0.0598 0.5000 Dy
0.5000 0.5000 0.5000 Dy
0.7056 0.9402 0.5000 Dy
0.7778 0.2222 0.0000 Dy
0.9402 0.7056 0.5000 Dy
0.2968 0.7032 0.5000 Er
0.7032 0.2968 0.5000 Er

Entry 2:
TbPm7Sc4, optimized geometry, DFT GGA-PBE; calculated volume = 368.35 Å³ per cell; calculated formation energy = 0.03 eV/atom; calculated total energy = -5.234 eV per atom; M_tot = 0.000 μB/atom
1.0
6.1437 0.0000 0.0000
0.0015 7.0860 0.0000
2.0478 0.0021 8.4611
Tb Pm Sc
1 7 4
Direct
0.0000 0.0000 0.0000 Tb
0.0000 0.5000 0.0000 Pm
0.2238 0.0008 0.3363 Pm
0.2876 0.7443 0.6599 Pm
0.4972 0.2570 0.9910 Pm
0.5028 0.7430 0.0090 Pm
0.7124 0.2557 0.3401 Pm
0.7762 0.9992 0.6637 Pm
0.2135 0.4991 0.3410 Sc
0.2720 0.2588 0.6631 Sc
0.7280 0.7412 0.3369 Sc
0.7865 0.5009 0.6590 Sc

Entry 3:
BeVCuIr, optimized geometry, DFT GGA-PBE; calculated volume = 49.08 Å³ per cell; calculated formation energy = -0.23 eV/atom; calculated total energy = -6.684 eV per atom; M_tot = 0.154 μB/atom
1.0
0.0000 2.9060 2.9060
2.9060 0.0000 2.9060
2.9060 2.9060 0.0000
Be V Cu Ir
1 1 1 1
Direct
0.0000 0.0000 0.0000 Be
0.5000 0.5000 0.5000 V
0.7500 0.7500 0.7500 Cu
0.2500 0.2500 0.2500 Ir

Entry 4:
Ag2PtBr, optimized geometry, DFT GGA-PBE; calculated volume = 78.34 Å³ per cell; calculated total energy = -3.037 eV per atom; energy above the lowest structure with this stoichiometry = 0.1847 eV per atom; E_form (uncorrected) = 0.317 eV per atom; M_tot = 0.000 μB/atom
1.0
1.4868 -2.4497 0.0000
1.4868 2.4497 0.0000
0.0000 0.0000 10.7546
Ag Pt Br
2 1 1
Direct
0.0000 0.0000 0.0000 Ag
0.5000 0.5000 0.2243 Ag
0.5000 0.5000 0.7808 Pt
0.0000 0.0000 0.4751 Br

N(E_F): 13.56; 16.26; 3.67; 2.00 (states/eV per cell)